Material: CaMo2Ir
Method: DFT, GGA-PBE
State: relaxed

* raw total energy: -30.65 eV for the cell shown
* ΔE to the lowest computed polymorph: 21.63 kJ/mol of atoms

Lattice parameters (Å, degrees): 3.3956 3.3956 7.0253 90.00 90.00 90.00
Fractional coordinates of all 4 atoms:
Ca1 0.0000 0.0000 0.0000
Mo1 0.5000 0.5000 0.3303
Mo2 0.5000 0.5000 0.6697
Ir1 0.0000 0.0000 0.5000

---

Material: CaMo2Ir
Method: DFT, GGA-PBE
State: relaxed

* raw total energy: -31.45 eV for the cell shown
* ΔE to the lowest computed polymorph: 2.45 kJ/mol of atoms

Lattice parameters (Å, degrees): 5.9029 5.9029 4.7000 113.34 113.34 28.85
Fractional coordinates of all 4 atoms:
Ca1 0.0000 0.0000 0.0000
Mo1 0.2194 0.2194 0.7193
Mo2 0.7806 0.7806 0.2807
Ir1 0.5000 0.5000 0.5000

---

Material: CaMoIr
Method: DFT, GGA-PBE
State: relaxed

* raw total energy: -20.61 eV for the cell shown
* ΔE to the lowest computed polymorph: 20.16 kJ/mol of atoms

Lattice parameters (Å, degrees): 4.5771 4.5771 3.0251 90.00 90.00 120.00
Fractional coordinates of all 3 atoms:
Ca1 0.0000 0.0000 0.0000
Mo1 0.3333 0.6667 0.6016
Ir1 0.6667 0.3333 0.4257

---

Material: CaMo2Ir
Method: DFT, GGA-PBE
State: relaxed

* raw total energy: -31.16 eV for the cell shown
* ΔE to the lowest computed polymorph: 9.39 kJ/mol of atoms

Lattice parameters (Å, degrees): 5.0438 5.0438 5.4882 105.74 105.74 34.91
Fractional coordinates of all 4 atoms:
Ca1 0.0000 0.0000 0.0000
Mo1 0.2098 0.2098 0.6596
Mo2 0.4964 0.4964 0.4910
Ir1 0.7670 0.7670 0.2973